The following is a DFT calculation (PBE-GGA) of a relaxed LiZnCuMo crystal.

abc: 6.0047 6.0047 6.0047
angles: 90.00 90.00 90.00
With the nearest neighbours (Å) after each atom.
Space group F-43m (No. 216)
Symmetry-distinct sites (fractional):
Li (0.0000, 0.0000, 0.0000) (multiplicity 4)  4 Cu 2.60, 4 Mo 2.60
Zn (0.0000, 0.0000, 0.5000) (multiplicity 4)  4 Mo 2.60, 4 Cu 2.60
Cu (0.2500, 0.2500, 0.7500) (multiplicity 4)  4 Li 2.60, 4 Zn 2.60
Mo (0.2500, 0.2500, 0.2500) (multiplicity 4)  4 Li 2.60, 4 Zn 2.60

As for the crystal system: cubic. For the polymorph energy (0 for the lowest one), the calculation gives 55 meV per atom. The magnetic moment is 0.45 μB/atom. The value obtained for the energy is -64.5 eV per cell.

=====

The following is a DFT calculation (PBE-GGA) of a relaxed LiZnCuMo crystal.

abc: 5.9919 5.9919 5.9919
angles: 90.00 90.00 90.00
With the nearest neighbours (Å) after each atom.
Space group F-43m (No. 216)
Symmetry-distinct sites (fractional):
Li (0.0000, 0.0000, 0.0000) (multiplicity 4)  4 Zn 2.59, 4 Mo 2.59
Zn (0.2500, 0.2500, 0.2500) (multiplicity 4)  4 Cu 2.59, 4 Li 2.59
Cu (0.0000, 0.0000, 0.5000) (multiplicity 4)  4 Mo 2.59, 4 Zn 2.59
Mo (0.2500, 0.2500, 0.7500) (multiplicity 4)  4 Li 2.59, 4 Cu 2.59

As for the crystal system: cubic. For the polymorph energy (0 for the lowest one), the calculation gives 0 meV per atom. The magnetic moment is 0.49 μB/atom. The value obtained for the energy is -65.3 eV per cell.

=====

The following is a DFT calculation (PBE-GGA) of a relaxed LiCuN crystal.

abc: 2.7211 2.7211 30.7473
angles: 90.00 90.00 120.00
With the nearest neighbours (Å) after each atom.
Space group R3m (No. 160, hexagonal axes)
Symmetry-distinct sites (fractional):
Li (0.0000, 0.0000, 0.0000) (multiplicity 3)  3 N 2.07
Li (0.0000, 0.0000, 0.1261) (multiplicity 3)  3 N 2.07
Cu (0.0000, 0.0000, 0.2620) (multiplicity 3)  9 Cu 2.53-2.72, 3 Li 2.70
Cu (0.0000, 0.0000, 0.5308) (multiplicity 3)  9 Cu 2.53-2.72, 3 Li 2.70
N (0.0000, 0.0000, 0.7106) (multiplicity 3)  1 N 1.18
N (0.0000, 0.0000, 0.7489) (multiplicity 3)  1 N 1.18

As for the crystal system: trigonal. The value obtained for the energy is -85.3 eV per cell.

=====

The following is a DFT calculation (PBE-GGA) of a relaxed LiNbCu crystal.

abc: 5.6238 5.6238 5.6238
angles: 90.00 90.00 90.00
With the nearest neighbours (Å) after each atom.
Space group F-43m (No. 216)
Symmetry-distinct sites (fractional):
Li (0.0000, 0.0000, 0.0000) (multiplicity 4)  4 Nb 2.44, 4 Cu 2.44
Nb (0.2500, 0.2500, 0.2500) (multiplicity 4)  4 Li 2.44
Cu (0.2500, 0.2500, 0.7500) (multiplicity 4)  4 Li 2.44

As for the crystal system: cubic. The magnetic moment is 0.05 μB/atom. The value obtained for the energy is -51.4 eV per cell.

=====

The following is a DFT calculation (PBE-GGA) of a relaxed Li3NbCu crystal.

abc: 5.9530 5.9530 8.4788
angles: 90.00 90.00 90.00
With the nearest neighbours (Å) after each atom.
Space group I4/mcm (No. 140)
Symmetry-distinct sites (fractional):
Li (0.0000, 0.0000, 0.2500) (multiplicity 4)  2 Cu 2.12
Li (0.2481, 0.2519, 0.0000) (multiplicity 8)  2 Cu 2.10
Nb (0.0000, 0.5000, 0.2500) (multiplicity 4)  12 Li 2.98-3.00
Cu (0.0000, 0.0000, 0.0000) (multiplicity 4)  6 Li 2.10-2.12

As for the crystal system: tetragonal. The magnetic moment is 0.32 μB/atom. The value obtained for the energy is -61.0 eV per cell.

=====

The following is a DFT calculation (PBE-GGA) of a relaxed LiNb2Cu crystal.

abc: 6.3132 6.3132 6.3132
angles: 90.00 90.00 90.00
With the nearest neighbours (Å) after each atom.
Space group F-43m (No. 216)
Symmetry-distinct sites (fractional):
Li (0.0000, 0.0000, 0.0000) (multiplicity 4)  4 Nb 2.73, 4 Cu 2.73
Nb (0.0000, 0.0000, 0.5000) (multiplicity 4)  4 Nb 2.73, 4 Cu 2.73
Nb (0.2500, 0.2500, 0.7500) (multiplicity 4)  4 Nb 2.73, 4 Li 2.73
Cu (0.2500, 0.2500, 0.2500) (multiplicity 4)  4 Nb 2.73, 4 Li 2.73

As for the crystal system: cubic. The magnetic moment is 0.40 μB/atom. The value obtained for the energy is -94.7 eV per cell.

=====

The following is a DFT calculation (PBE-GGA) of a relaxed LiNbCu2 crystal.

abc: 5.9300 5.9300 5.9300
angles: 90.00 90.00 90.00
With the nearest neighbours (Å) after each atom.
Space group F-43m (No. 216)
Symmetry-distinct sites (fractional):
Li (0.0000, 0.0000, 0.0000) (multiplicity 4)  4 Nb 2.57, 4 Cu 2.57
Nb (0.2500, 0.2500, 0.2500) (multiplicity 4)  4 Li 2.57, 4 Cu 2.57
Cu (0.0000, 0.0000, 0.5000) (multiplicity 4)  4 Nb 2.57, 4 Cu 2.57
Cu (0.2500, 0.2500, 0.7500) (multiplicity 4)  4 Li 2.57, 4 Cu 2.57

As for the crystal system: cubic. The magnetic moment is 0.00 μB/atom. The value obtained for the energy is -74.3 eV per cell.

=====

The following is a DFT calculation (PBE-GGA) of a relaxed LiNbCuPb crystal.

abc: 6.4718 6.4718 6.4718
angles: 90.00 90.00 90.00
With the nearest neighbours (Å) after each atom.
Space group F-43m (No. 216)
Symmetry-distinct sites (fractional):
Li (0.0000, 0.0000, 0.0000) (multiplicity 4)  4 Nb 2.80, 4 Pb 2.80
Nb (0.2500, 0.2500, 0.2500) (multiplicity 4)  4 Li 2.80, 4 Cu 2.80
Cu (0.0000, 0.0000, 0.5000) (multiplicity 4)  4 Nb 2.80, 4 Pb 2.80
Pb (0.2500, 0.2500, 0.7500) (multiplicity 4)  4 Li 2.80, 4 Cu 2.80

As for the crystal system: cubic. For the polymorph energy (0 for the lowest one), the calculation gives 0 meV per atom. The magnetic moment is 0.50 μB/atom. The value obtained for the energy is -71.3 eV per cell.